The following is a PBE-GGA calculation of an optimized crystal structure of K2Y2P, from the Alexandria database.

Computed properties:
calculated total energy = -3.481 eV per atom
energy relative to the elements = 0.625 eV per atom
N(E_F) = 5.55 states/eV/cell

The structure in POSCAR format:
```
K2Y2P
1.0
3.320 6.245 8.437
4.720 9.414 3.209
-6.834 -6.447 -5.739
K Y P
2 2 1
Direct
0.577 0.577 0.000
0.423 0.423 0.000
0.250 0.750 0.500
0.750 0.250 0.500
0.000 0.000 0.000
```


The following is a PBE-GGA calculation of an optimized crystal structure of KY2P, from the Alexandria database.

Computed properties:
calculated total energy = -5.334 eV per atom
energy relative to the elements = -0.475 eV per atom
N(E_F) = 4.05 states/eV/cell

The structure in POSCAR format:
```
KY2P
1.0
-1.490 0.716 3.486
2.391 -2.695 1.575
7.556 5.110 2.180
K P Y
1 1 2
Direct
0.000 0.663 0.545
0.500 0.506 0.864
0.000 0.977 0.922
0.500 0.354 0.169
```


The following is a PBE-GGA calculation of an optimized crystal structure of KY2P, from the Alexandria database.

Computed properties:
calculated total energy = -5.309 eV per atom
energy relative to the elements = -0.450 eV per atom
N(E_F) = 3.05 states/eV/cell

The structure in POSCAR format:
```
KY2P
1.0
3.859 0.000 0.000
0.000 3.859 0.000
0.000 0.000 9.157
K P Y
1 1 2
Direct
0.000 0.000 0.547
0.500 0.500 0.856
0.000 0.000 0.927
0.500 0.500 0.170
```


The following spin magnetization values (in μB per formula unit) correspond, in order, to the records above: 0.33, 1.24, 1.49.